[1]
First-principles (PBE) data for Pu2H4Cl after structural relaxation, as listed in Alexandria via LeMat-Bulk.

## Properties
Calculated volume in A^3/atom: 13.24
Calculated total energy in eV per atom: -6.944
Magnetization in μB/atom: 1.571

Lattice parameters (Å, degrees): 7.6466 7.6466 7.6466 28.95 28.95 28.95
Positions (direct):
Pu: 0.2377 0.2377 0.2377
Pu: 0.7623 0.7623 0.7623
H: 0.1348 0.1348 0.1348
H: 0.4293 0.4293 0.4293
H: 0.5707 0.5707 0.5707
H: 0.8652 0.8652 0.8652
Cl: 0.0000 0.0000 0.0000

---

[2]
First-principles (PBE) data for KCaAg2 after structural relaxation, as listed in Alexandria via LeMat-Bulk.

## Properties
Calculated volume in A^3/atom: 28.88
Calculated total energy in eV per atom: -2.203
Magnetization in μB/atom: 0.000
ΔE_f in eV per atom: 0.00

Lattice parameters (Å, degrees): 6.1936 6.1936 5.5047 106.83 106.83 35.04
Positions (direct):
K: 0.0000 0.0000 0.0000
Ca: 0.2016 0.2016 0.6411
Ag: 0.4509 0.4509 0.4678
Ag: 0.7647 0.7647 0.2072

---

[3]
First-principles (PBE) data for Tb2Dy2Co after structural relaxation, as listed in Alexandria via LeMat-Bulk.

## Properties
Calculated volume in A^3/atom: 27.75
Calculated total energy in eV per atom: -5.182
Magnetization in μB/atom: 0.000
ΔE_f in eV per atom: -0.07

Lattice parameters (Å, degrees): 6.8362 6.8362 7.1447 102.39 102.39 114.98
Positions (direct):
Tb: 0.2258 0.2258 0.3955
Tb: 0.2571 0.2571 0.9067
Tb: 0.7429 0.7429 0.0933
Tb: 0.7742 0.7742 0.6045
Dy: 0.2268 0.6807 0.2423
Dy: 0.3193 0.7732 0.7577
Dy: 0.6807 0.2268 0.2423
Dy: 0.7732 0.3193 0.7577
Co: 0.1211 0.8789 0.0000
Co: 0.8789 0.1211 0.0000

---

[4]
First-principles (PBE) data for BaBe4I2 after structural relaxation, as listed in Alexandria via LeMat-Bulk.

## Properties
Calculated volume in A^3/atom: 45.22
Energy relative to the elements, uncorrected in eV per atom: 1.282
Calculated total energy in eV per atom: -1.565
Magnetization in μB/atom: 0.056

Lattice parameters (Å, degrees): 8.8238 8.8238 8.8238 136.93 136.93 62.55
Positions (direct):
Ba: 0.0000 0.0000 0.0000
Be: 0.0000 0.5000 0.5000
Be: 0.2194 0.2194 0.0000
Be: 0.5000 0.0000 0.5000
Be: 0.7806 0.7806 0.0000
I: 0.3724 0.3724 0.0000
I: 0.6276 0.6276 0.0000

---

[5]
First-principles (PBE) data for Sr2CaGe2 after structural relaxation, as listed in Alexandria via LeMat-Bulk.

## Properties
Calculated volume in A^3/atom: 30.78
Calculated total energy in eV per atom: -3.456
Magnetization in μB/atom: 0.046
ΔE_f in eV per atom: -0.54

Lattice parameters (Å, degrees): 8.0615 8.0615 4.7364 90.00 90.00 90.00
Positions (direct):
Sr: 0.1733 0.3267 0.0000
Sr: 0.3267 0.8267 0.0000
Sr: 0.6733 0.1733 0.0000
Sr: 0.8267 0.6733 0.0000
Ca: 0.0000 0.0000 0.5000
Ca: 0.5000 0.5000 0.5000
Ge: 0.1148 0.6148 0.5000
Ge: 0.3852 0.1148 0.5000
Ge: 0.6148 0.8852 0.5000
Ge: 0.8852 0.3852 0.5000

---

[6]
First-principles (PBE) data for ScGe3Te after structural relaxation, as listed in Alexandria via LeMat-Bulk.

## Properties
Calculated volume in A^3/atom: 29.52
Energy relative to the elements, uncorrected in eV per atom: 0.862
Calculated total energy in eV per atom: -3.803
Magnetization in μB/atom: 0.000

Lattice parameters (Å, degrees): 5.2848 5.2848 5.2848 90.00 90.00 90.00
Positions (direct):
Sc: 0.0000 0.0000 0.0000
Ge: 0.0000 0.5000 0.5000
Ge: 0.5000 0.0000 0.5000
Ge: 0.5000 0.5000 0.0000
Te: 0.5000 0.5000 0.5000

---

How do the records compare in density of states at the Fermi level? In the order shown, they have 17.2 1.6 11.5 5.0 9.3 7.5 states/eV per cell.